1.
Below is a geometry-optimized YMn2Cr structure, with properties calculated at the PBE-GGA level.

Cell: 4.8109 4.8109 5.0335 Å, 74.00 74.00 40.80°
Last column: magnetic moment on the atom in μB.
Positions (direct):
1 Cr 0.2813 0.2813 0.1321  -2.44
2 Mn 0.9852 0.9852 0.0201  2.82
3 Mn 0.7307 0.7307 0.8390  2.97
4 Y 0.5028 0.5028 0.5087  -0.13

Values from the calculation:
relative energy among the computed polymorphs = 0.674 eV/f.u.
ΔH_f (0 K) = 367.1 meV per atom

2.
Below is a geometry-optimized FePtSe2 structure, with properties calculated at the PBE-GGA level.

Cell: 6.4923 6.4923 6.4923 Å, 152.38 146.77 43.74°
Last column: magnetic moment on the atom in μB.
Positions (direct):
1 Fe 0.5300 0.5300 0.0000  2.53
2 Pt 0.3123 0.8123 0.5000  -0.09
3 Se 0.9638 0.9638 0.0000  -0.01
4 Se 0.6939 0.1939 0.5000  -0.05

Values from the calculation:
relative energy among the computed polymorphs = 1.204 eV/f.u.

3.
Below is a geometry-optimized Na2LaSb structure, with properties calculated at the PBE-GGA level.

Cell: 4.5965 4.5965 13.2277 Å, 79.99 79.99 90.00°
Positions (direct):
1 Sb 0.5000 0.5000 0.0000
2 Sb 0.2500 0.7500 0.5000
3 Na 0.6010 0.1250 0.2500
4 Na 0.1490 0.6250 0.2500
5 Na 0.3750 0.3990 0.7500
6 Na 0.8750 0.8510 0.7500
7 La 0.0000 0.0000 0.0000
8 La 0.7500 0.2500 0.5000

Values from the calculation:
total energy = -26.30 eV/cell

4.
Below is a geometry-optimized PmPr2Tm5Sc structure, with properties calculated at the PBE-GGA level.

Cell: 5.5669 10.1922 10.4444 Å, 90.00 90.00 105.85°
Positions (direct):
1 Pm 0.5862 0.1725 0.9585
2 Pm 0.4138 0.8275 0.4585
3 Pr 0.8877 0.7754 0.8145
4 Pr 0.1152 0.2304 0.7330
5 Pr 0.1123 0.2246 0.3145
6 Pr 0.8848 0.7696 0.2330
7 Tm 0.3768 0.7536 0.0184
8 Tm 0.7228 0.4455 0.8223
9 Tm 0.4821 0.9643 0.7383
10 Tm 0.2974 0.5948 0.7037
11 Tm 0.9828 0.9656 0.5211
12 Tm 0.6232 0.2464 0.5184
13 Tm 0.2772 0.5545 0.3223
14 Tm 0.5179 0.0357 0.2383
15 Tm 0.7026 0.4052 0.2037
16 Tm 0.0172 0.0344 0.0211
17 Sc 0.8023 0.6045 0.5141
18 Sc 0.1977 0.3955 0.0141

Values from the calculation:
ΔH_f (0 K) = 158.6 meV per atom

5.
Below is a geometry-optimized Pm2Nd3Y7 structure, with properties calculated at the PBE-GGA level.

Cell: 3.6144 5.8951 19.5728 Å, 104.28 90.00 90.00°
Positions (direct):
1 Pm 0.5000 0.5833 0.2927
2 Pm 0.5000 0.4167 0.7073
3 Nd 0.5000 0.5000 0.0000
4 Nd 0.0000 0.1452 0.3672
5 Nd 0.0000 0.8548 0.6328
6 Y 0.5000 0.7193 0.4619
7 Y 0.5000 0.2807 0.5381
8 Y 0.0000 0.4547 0.1429
9 Y 0.0000 0.0000 0.0000
10 Y 0.0000 0.5453 0.8571
11 Y 0.5000 0.0168 0.8255
12 Y 0.5000 0.9832 0.1745

Values from the calculation:
relative energy among the computed polymorphs = 0.000 eV/f.u.
ΔH_f (0 K) = 81.6 meV per atom

6.
Below is a geometry-optimized Zr2InSi structure, with properties calculated at the PBE-GGA level.

Cell: 3.0903 3.0903 8.3588 Å, 90.00 90.00 90.00°
Positions (direct):
1 In 0.5000 0.5000 0.2500
2 Si 0.5000 0.5000 0.7500
3 Zr 0.0000 0.0000 0.9705
4 Zr 0.0000 0.0000 0.5295

Values from the calculation:
total energy = -27.02 eV/cell

7.
Below is a geometry-optimized Ca2BeP structure, with properties calculated at the PBE-GGA level.

Cell: 3.6332 3.6332 8.4268 Å, 90.00 90.00 114.68°
Positions (direct):
1 P 0.0000 0.0000 0.5693
2 Ca 0.0000 0.0000 0.9265
3 Ca 0.5000 0.5000 0.3305
4 Be 0.5000 0.5000 0.6737

Values from the calculation:
relative energy among the computed polymorphs = 1.697 eV/f.u.
ΔH_f (0 K) = -135.1 meV per atom

8.
Below is a geometry-optimized Cs2TlTe structure, with properties calculated at the PBE-GGA level.

Cell: 7.9204 13.5972 8.1592 Å, 118.65 90.00 90.00°
Positions (direct):
1 Cs 0.8003 0.0676 0.1961
2 Cs 0.3003 0.4324 0.8039
3 Cs 0.1997 0.9324 0.8039
4 Cs 0.6997 0.5676 0.1961
5 Cs 0.9076 0.6516 0.7677
6 Cs 0.4076 0.8484 0.2323
7 Cs 0.0924 0.3484 0.2323
8 Cs 0.5924 0.1516 0.7677
9 Tl 0.5901 0.3564 0.3582
10 Tl 0.0901 0.1436 0.6418
11 Tl 0.4099 0.6436 0.6418
12 Tl 0.9099 0.8564 0.3582
13 Te 0.3381 0.1500 0.3339
14 Te 0.8381 0.3500 0.6661
15 Te 0.6619 0.8500 0.6661
16 Te 0.1619 0.6500 0.3339

Values from the calculation:
relative energy among the computed polymorphs = 0.000 eV/f.u.